# 1
## MoRu2Au (GGA-PBEsol)

Data for a relaxed structure of MoRu2Au.

Computed properties:
- Magnetization: 0.0 μB/f.u.
- Energy relative to the elements: 0.221 eV/atom

CIF file:
```
data_MoRu2Au
_chemical_formula_sum 'Mo2 Ru4 Au2'
_space_group_name_H-M_alt 'I -4 m 2'
_space_group_IT_number 119
_space_group_name_Hall 'I -4 -2'
_cell_length_a 3.818
_cell_length_b 3.818
_cell_length_c 7.951
_cell_angle_alpha 90.00
_cell_angle_beta 90.00
_cell_angle_gamma 90.00
loop_
_atom_site_label
_atom_site_type_symbol
_atom_site_fract_x
_atom_site_fract_y
_atom_site_fract_z
Mo1 Mo 0.000 0.000 0.000
Ru1 Ru 0.000 0.000 0.500
Ru2 Ru 0.000 0.500 0.750
Au1 Au 0.000 0.500 0.250
```

---

# 2
## MoRuAu3 (GGA-PBEsol)

Data for a relaxed structure of MoRuAu3.

Computed properties:
- Magnetization: 6.2 μB/f.u.
- Energy relative to the elements: 1.816 eV/atom

CIF file:
```
data_MoRuAu3
_chemical_formula_sum 'Mo1 Ru1 Au3'
_space_group_name_H-M_alt 'P m -3 m'
_space_group_IT_number 221
_space_group_name_Hall '-P 4 2 3'
_cell_length_a 4.865
_cell_length_b 4.865
_cell_length_c 4.865
_cell_angle_alpha 90.00
_cell_angle_beta 90.00
_cell_angle_gamma 90.00
loop_
_atom_site_label
_atom_site_type_symbol
_atom_site_fract_x
_atom_site_fract_y
_atom_site_fract_z
Mo1 Mo 0.000 0.000 0.000
Ru1 Ru 0.500 0.500 0.500
Au1 Au 0.000 0.500 0.500
```

---

# 3
## MoRuAu (GGA-PBEsol)

Data for a relaxed structure of MoRuAu.

Computed properties:
- Magnetization: 0.0 μB/f.u.
- Energy relative to the elements: 0.778 eV/atom

CIF file:
```
data_MoRuAu
_chemical_formula_sum 'Mo4 Ru4 Au4'
_space_group_name_H-M_alt 'F -4 3 m'
_space_group_IT_number 216
_space_group_name_Hall 'F -4 2 3'
_cell_length_a 5.972
_cell_length_b 5.972
_cell_length_c 5.972
_cell_angle_alpha 90.00
_cell_angle_beta 90.00
_cell_angle_gamma 90.00
loop_
_atom_site_label
_atom_site_type_symbol
_atom_site_fract_x
_atom_site_fract_y
_atom_site_fract_z
Mo1 Mo 0.000 0.000 0.000
Ru1 Ru 0.250 0.250 0.750
Au1 Au 0.250 0.250 0.250
```

---

# 4
## MoRuAu (GGA-PBEsol)

Data for a relaxed structure of MoRuAu.

Computed properties:
- Magnetization: 0.0 μB/f.u.
- Energy relative to the elements: 0.296 eV/atom

CIF file:
```
data_MoRuAu
_chemical_formula_sum 'Mo1 Ru1 Au1'
_space_group_name_H-M_alt 'P -6 m 2'
_space_group_IT_number 187
_space_group_name_Hall 'P -6 2'
_cell_length_a 4.3230
_cell_length_b 4.3230
_cell_length_c 2.8499
_cell_angle_alpha 90.00
_cell_angle_beta 90.00
_cell_angle_gamma 120.00
loop_
_atom_site_label
_atom_site_type_symbol
_atom_site_fract_x
_atom_site_fract_y
_atom_site_fract_z
Mo1 Mo 0.0000 0.0000 0.0000
Ru1 Ru 0.6667 0.3333 0.0000
Au1 Au 0.3333 0.6667 0.5000
```

---

# 5
## MoAu3S (GGA-PBEsol)

Data for a relaxed structure of MoAu3S.

Computed properties:
- Energy relative to the elements, uncorrected: 1.1132 eV/atom
- Magnetization: 3.3 μB/f.u.

CIF file:
```
data_MoAu3S
_chemical_formula_sum 'Mo1 Au3 S1'
_space_group_name_H-M_alt 'P m -3 m'
_space_group_IT_number 221
_space_group_name_Hall '-P 4 2 3'
_cell_length_a 4.612
_cell_length_b 4.612
_cell_length_c 4.612
_cell_angle_alpha 90.00
_cell_angle_beta 90.00
_cell_angle_gamma 90.00
loop_
_atom_site_label
_atom_site_type_symbol
_atom_site_fract_x
_atom_site_fract_y
_atom_site_fract_z
Mo1 Mo 0.000 0.000 0.000
Au1 Au 0.000 0.500 0.500
S1 S 0.500 0.500 0.500
```

---

# 6
## SbMo2Au (GGA-PBEsol)

Data for a relaxed structure of SbMo2Au.

Computed properties:
- Energy relative to the elements, uncorrected: 0.3789 eV/atom
- Magnetization: 0.0 μB/f.u.

CIF file:
```
data_SbMo2Au
_chemical_formula_sum 'Sb1 Mo2 Au1'
_space_group_name_H-M_alt 'P 1 2/m 1'
_space_group_IT_number 10
_cell_length_a 3.054
_cell_length_b 4.072
_cell_length_c 5.760
_cell_angle_alpha 90.00
_cell_angle_beta 101.44
_cell_angle_gamma 90.00
loop_
_space_group_symop_operation_xyz
'x,y,z'
'-x,-y,-z'
'-x,y,-z'
'x,-y,z'
loop_
_atom_site_label
_atom_site_type_symbol
_atom_site_fract_x
_atom_site_fract_y
_atom_site_fract_z
Sb1 Sb 0.000 0.000 0.000
Mo1 Mo 0.420 0.500 0.281
Au1 Au 0.000 0.000 0.500
```

---

# 7
## Sb2MoAu (GGA-PBEsol)

Data for a relaxed structure of Sb2MoAu.

Computed properties:
- Energy relative to the elements, uncorrected: 0.2191 eV/atom
- Magnetization: 0.0 μB/f.u.

CIF file:
```
data_Sb2MoAu
_chemical_formula_sum 'Sb2 Mo1 Au1'
_space_group_name_H-M_alt 'P 4 m m'
_space_group_IT_number 99
_cell_length_a 3.740
_cell_length_b 3.740
_cell_length_c 5.699
_cell_angle_alpha 90.00
_cell_angle_beta 90.00
_cell_angle_gamma 90.00
loop_
_space_group_symop_operation_xyz
'x,y,z'
'-y,x,z'
'-x,-y,z'
'y,-x,z'
'-x,y,z'
'y,x,z'
'x,-y,z'
'-y,-x,z'
loop_
_atom_site_label
_atom_site_type_symbol
_atom_site_fract_x
_atom_site_fract_y
_atom_site_fract_z
Sb1 Sb 0.000 0.000 0.000
Sb2 Sb 0.500 0.500 0.357
Mo1 Mo 0.500 0.500 0.837
Au1 Au 0.000 0.000 0.521
```

---

# 8
## SbMo2Au (GGA-PBEsol)

Data for a relaxed structure of SbMo2Au.

Computed properties:
- Energy relative to the elements, uncorrected: 0.2917 eV/atom
- Magnetization: 0.0 μB/f.u.

CIF file:
```
data_SbMo2Au
_chemical_formula_sum 'Sb2 Mo4 Au2'
_space_group_name_H-M_alt 'C 1 m 1'
_space_group_IT_number 8
_cell_length_a 9.485
_cell_length_b 3.188
_cell_length_c 4.743
_cell_angle_alpha 90.00
_cell_angle_beta 104.27
_cell_angle_gamma 90.00
loop_
_space_group_symop_operation_xyz
'x,y,z'
'x,-y,z'
'x+1/2,y+1/2,z'
'x+1/2,-y+1/2,z'
loop_
_atom_site_label
_atom_site_type_symbol
_atom_site_fract_x
_atom_site_fract_y
_atom_site_fract_z
Sb1 Sb 0.000 0.000 0.000
Mo1 Mo 0.028 0.500 0.526
Mo2 Mo 0.239 0.000 0.725
Au1 Au 0.269 0.500 0.267
```

---

# 9
## SbMoAu2 (GGA-PBEsol)

Data for a relaxed structure of SbMoAu2.

Computed properties:
- Energy relative to the elements, uncorrected: 0.3280 eV/atom
- Magnetization: 0.0 μB/f.u.

CIF file:
```
data_SbMoAu2
_chemical_formula_sum 'Sb1 Mo1 Au2'
_space_group_name_H-M_alt 'P 1 m 1'
_space_group_IT_number 6
_cell_length_a 2.871
_cell_length_b 4.801
_cell_length_c 5.222
_cell_angle_alpha 90.00
_cell_angle_beta 90.02
_cell_angle_gamma 90.00
loop_
_space_group_symop_operation_xyz
'x,y,z'
'x,-y,z'
loop_
_atom_site_label
_atom_site_type_symbol
_atom_site_fract_x
_atom_site_fract_y
_atom_site_fract_z
Sb1 Sb 0.000 0.000 0.000
Mo1 Mo 0.998 0.500 0.721
Au1 Au 0.497 0.500 0.240
Au2 Au 0.498 0.000 0.523
```

---

# 10
## SbMoAu2 (GGA-PBEsol)

Data for a relaxed structure of SbMoAu2.

Computed properties:
- Energy relative to the elements, uncorrected: 0.3405 eV/atom
- Magnetization: 0.0 μB/f.u.

CIF file:
```
data_SbMoAu2
_chemical_formula_sum 'Sb2 Mo2 Au4'
_space_group_name_H-M_alt 'I -4 m 2'
_space_group_IT_number 119
_space_group_name_Hall 'I -4 -2'
_cell_length_a 4.268
_cell_length_b 4.268
_cell_length_c 7.791
_cell_angle_alpha 90.00
_cell_angle_beta 90.00
_cell_angle_gamma 90.00
loop_
_atom_site_label
_atom_site_type_symbol
_atom_site_fract_x
_atom_site_fract_y
_atom_site_fract_z
Sb1 Sb 0.000 0.000 0.000
Mo1 Mo 0.000 0.500 0.750
Au1 Au 0.000 0.000 0.500
Au2 Au 0.000 0.500 0.250
```

---

# 11
## Sb2MoAu (GGA-PBEsol)

Data for a relaxed structure of Sb2MoAu.

Computed properties:
- Energy relative to the elements, uncorrected: 0.2789 eV/atom
- Magnetization: 0.0 μB/f.u.

CIF file:
```
data_Sb2MoAu
_chemical_formula_sum 'Sb2 Mo1 Au1'
_space_group_name_H-M_alt 'P 4 m m'
_space_group_IT_number 99
_cell_length_a 3.166
_cell_length_b 3.166
_cell_length_c 8.264
_cell_angle_alpha 90.00
_cell_angle_beta 90.00
_cell_angle_gamma 90.00
loop_
_space_group_symop_operation_xyz
'x,y,z'
'-y,x,z'
'-x,-y,z'
'y,-x,z'
'-x,y,z'
'y,x,z'
'x,-y,z'
'-y,-x,z'
loop_
_atom_site_label
_atom_site_type_symbol
_atom_site_fract_x
_atom_site_fract_y
_atom_site_fract_z
Sb1 Sb 0.000 0.000 0.000
Sb2 Sb 0.500 0.500 0.347
Mo1 Mo 0.500 0.500 0.795
Au1 Au 0.000 0.000 0.583
```

---

# 12
## Sb2MoAu (GGA-PBEsol)

Data for a relaxed structure of Sb2MoAu.

Computed properties:
- Energy relative to the elements, uncorrected: 0.3012 eV/atom
- Magnetization: 0.0 μB/f.u.

CIF file:
```
data_Sb2MoAu
_chemical_formula_sum 'Sb4 Mo2 Au2'
_space_group_name_H-M_alt 'C 1 2/m 1'
_space_group_IT_number 12
_cell_length_a 9.010
_cell_length_b 3.310
_cell_length_c 5.403
_cell_angle_alpha 90.00
_cell_angle_beta 99.50
_cell_angle_gamma 90.00
loop_
_space_group_symop_operation_xyz
'x,y,z'
'-x,-y,-z'
'-x,y,-z'
'x,-y,z'
'x+1/2,y+1/2,z'
'-x+1/2,-y+1/2,-z'
'-x+1/2,y+1/2,-z'
'x+1/2,-y+1/2,z'
loop_
_atom_site_label
_atom_site_type_symbol
_atom_site_fract_x
_atom_site_fract_y
_atom_site_fract_z
Sb1 Sb 0.231 0.000 0.226
Mo1 Mo 0.000 0.500 0.000
Au1 Au 0.000 0.000 0.500
```